No. 1
## Sc6AgTe2 (PBEsol)

Data for a relaxed Sc6AgTe2 crystal.

abc: 20.1777 3.7971 10.6247
angles: 90.00 90.00 90.00
Space group Pnma (No. 62)
One atom of each set of equivalent atoms:
Sc1 0.0095 0.2500 0.1095 (multiplicity 4)
Sc2 0.0294 0.7500 0.3778 (multiplicity 4)
Sc3 0.1075 0.2500 0.8250 (multiplicity 4)
Sc4 0.1386 0.7500 0.0653 (multiplicity 4)
Sc5 0.1618 0.2500 0.5338 (multiplicity 4)
Sc6 0.2310 0.7500 0.7451 (multiplicity 4)
Ag1 0.0764 0.7500 0.6407 (multiplicity 4)
Te1 0.1267 0.2500 0.2719 (multiplicity 4)
Te2 0.2351 0.2500 0.9606 (multiplicity 4)

Output
Fermi-level density of states = 40.488 states/eV per cell
VASP energy = -6.19 eV per atom
E_form (uncorrected) = -0.636 eV per atom

No. 2
## ScAg2Te (PBEsol)

Data for a relaxed ScAg2Te crystal.

abc: 3.8181 3.8181 5.6497
angles: 90.00 90.00 90.00
Space group P4/mmm (No. 123)
One atom of each set of equivalent atoms:
Sc1 0.0000 0.0000 0.0000 (multiplicity 1)
Ag1 0.5000 0.5000 0.2395 (multiplicity 2)
Te1 0.0000 0.0000 0.5000 (multiplicity 1)

Output
Fermi-level density of states = 3.127 states/eV per cell
VASP energy = -4.47 eV per atom
E_form (uncorrected) = -0.286 eV per atom

No. 3
## Sc2TlAg (PBEsol)

Data for a relaxed Sc2TlAg crystal.

abc: 6.9185 6.9185 6.9185
angles: 90.00 90.00 90.00
Space group Fm-3m (No. 225)
One atom of each set of equivalent atoms:
Sc1 0.2500 0.2500 0.2500 (multiplicity 8)
Tl1 0.0000 0.0000 0.0000 (multiplicity 4)
Ag1 0.0000 0.0000 0.5000 (multiplicity 4)

Output
Fermi-level density of states = 13.193 states/eV per cell
VASP energy = -5.14 eV per atom
E_form = -0.35 eV/atom
Energy relative to the lowest polymorph listed for this composition = 0.000 eV per atom

No. 4
## Sc2TlAg2 (PBEsol)

Data for a relaxed Sc2TlAg2 crystal.

abc: 7.6162 7.6162 3.4705
angles: 90.00 90.00 90.00
Space group P4/mbm (No. 127)
One atom of each set of equivalent atoms:
Sc1 0.1676 0.3324 0.0000 (multiplicity 4)
Tl1 0.0000 0.0000 0.5000 (multiplicity 2)
Ag1 0.1274 0.6274 0.5000 (multiplicity 4)

Output
Fermi-level density of states = 7.249 states/eV per cell
VASP energy = -4.78 eV per atom
E_form = -0.28 eV/atom